1.
DFT (GGA-PBE) results for CoNi2RuN after structural relaxation.

Lattice parameters (Å, degrees): 3.775 3.775 3.935 90.00 90.00 90.00
Each line ends with the local moment (μB).
Fractional coordinates of all 5 atoms:
Ru  0.000  0.000  0.500  0.70
N  0.000  0.000  0.000  0.00
Co  0.500  0.500  0.500  1.98
Ni  0.000  0.500  0.000  0.35
Ni  0.500  0.000  0.000  0.35

**Excess energy over the best structure of this formula in the dataset**: 0 meV per atom
**Symmetry**: P4/mmm (123)
**Formation energy (no corrections)**: 5.491 kcal/mol of atoms
**Electronic total energy**: -35.1 eV per cell

2.
DFT (GGA-PBE) results for CoNi2RuN after structural relaxation.

Lattice parameters (Å, degrees): 3.808 3.808 3.742 90.00 90.00 90.00
Each line ends with the local moment (μB).
Fractional coordinates of all 5 atoms:
Ru  0.500  0.500  0.500  1.17
N  0.000  0.000  0.000  0.06
Co  0.000  0.000  0.500  1.53
Ni  0.000  0.500  0.000  0.37
Ni  0.500  0.000  0.000  0.37

**Excess energy over the best structure of this formula in the dataset**: 50 meV per atom
**Symmetry**: P4/mmm (123)
**Formation energy (no corrections)**: 6.636 kcal/mol of atoms
**Electronic total energy**: -34.8 eV per cell